# 1
First-principles (PBE) data for a geometry-optimized AlAg2Au structure, as listed in the Alexandria database.

Cell: 2.9186 4.2541 5.5908 Å, 90.00 90.00 90.00°
Last column: nearest neighbours and their distance in Å.
Space group Pmmm (No. 47)
Inequivalent atoms, fractional coordinates:
1 Al 0.0000 0.0000 0.0000 (multiplicity 1)  2 Au 2.80, 2 Al 2.92, 8 Ag 2.92
2 Ag 0.5000 0.5000 0.2445 (multiplicity 2)  4 Ag 2.73-2.92, 4 Al 2.92, 4 Au 2.95
3 Au 0.0000 0.0000 0.5000 (multiplicity 1)  2 Al 2.80, 2 Au 2.92, 8 Ag 2.95

Crystal system = orthorhombic

---

# 2
First-principles (PBE) data for a geometry-optimized AlAg2Au2 structure, as listed in the Alexandria database.

Cell: 6.7300 6.7300 4.1760 Å, 90.00 90.00 90.00°
Last column: nearest neighbours and their distance in Å.
Space group P4/mbm (No. 127)
Inequivalent atoms, fractional coordinates:
1 Al 0.0000 0.0000 0.0000 (multiplicity 2)  4 Au 2.57
2 Ag 0.1565 0.3435 0.5000 (multiplicity 4)  6 Au 2.79-2.93, 1 Ag 2.98
3 Au 0.1485 0.6485 0.0000 (multiplicity 4)  2 Al 2.57, 2 Ag 2.79, 1 Au 2.83

Crystal system = tetragonal

---

# 3
First-principles (PBE) data for a geometry-optimized Al2Ag2Au5 structure, as listed in the Alexandria database.

Cell: 13.0411 5.6499 9.0343 Å, 90.00 90.00 90.00°
Last column: nearest neighbours and their distance in Å.
Space group Ima2 (No. 46)
Inequivalent atoms, fractional coordinates:
1 Al 0.0000 0.0000 0.0000 (multiplicity 4)  6 Au 2.62-2.90
2 Al 0.2500 0.2143 0.8319 (multiplicity 4)  6 Au 2.56-2.73, 2 Ag 2.81
3 Ag 0.1376 0.0176 0.5380 (multiplicity 8)  4 Au 2.74-2.85, 1 Al 2.81, 1 Ag 2.93
4 Au 0.0643 0.1902 0.2610 (multiplicity 8)  2 Al 2.56-2.72, 2 Au 2.73-2.83, 2 Ag 2.77-2.85
5 Au 0.1402 0.6758 0.3235 (multiplicity 8)  2 Al 2.62-2.63, 2 Ag 2.74-2.80, 2 Au 2.83-2.86
6 Au 0.2500 0.5098 0.6002 (multiplicity 4)  2 Al 2.68-2.73

Crystal system = orthorhombic

---

# 4
First-principles (PBE) data for a geometry-optimized Al4Ag2Au9 structure, as listed in the Alexandria database.

Cell: 4.4197 4.4197 16.1033 Å, 90.00 90.00 120.00°
Last column: nearest neighbours and their distance in Å.
Space group P-3m1 (No. 164)
Inequivalent atoms, fractional coordinates:
1 Al 0.3333 0.6667 0.1146 (multiplicity 2)  7 Au 2.60-2.77
2 Al 0.3333 0.6667 0.3826 (multiplicity 2)  6 Au 2.61-2.74
3 Ag 0.3333 0.6667 0.7677 (multiplicity 2)  8 Au 2.92-2.98, 3 Al 3.18
4 Au 0.0000 0.0000 0.1441 (multiplicity 2)  3 Al 2.60, 1 Au 2.84
5 Au 0.0000 0.0000 0.3207 (multiplicity 2)  3 Al 2.74, 5 Au 2.84-2.99, 3 Ag 2.92
6 Au 0.0000 0.0000 0.5000 (multiplicity 1)  8 Au 2.88-2.89, 6 Al 3.18
7 Au 0.3333 0.6667 0.5826 (multiplicity 2)  3 Al 2.61, 3 Au 2.88
8 Au 0.3333 0.6667 0.9520 (multiplicity 2)  4 Al 2.62-2.77

Crystal system = trigonal

---

# 5
First-principles (PBE) data for a geometry-optimized AlAg2Au5 structure, as listed in the Alexandria database.

Cell: 5.6723 11.4267 4.3641 Å, 90.00 90.00 90.00°
Last column: nearest neighbours and their distance in Å.
Space group Pbam (No. 55)
Inequivalent atoms, fractional coordinates:
1 Al 0.0000 0.0000 0.0000 (multiplicity 2)  8 Au 2.66-2.84
2 Ag 0.1866 0.3562 0.5000 (multiplicity 4)  10 Au 2.84-2.93
3 Au 0.0000 0.5000 0.0000 (multiplicity 2)  2 Al 2.84, 4 Ag 2.93, 6 Au 3.01-3.07
4 Au 0.0366 0.7678 0.0000 (multiplicity 4)  1 Al 2.66, 4 Au 2.87-2.96, 4 Ag 2.87-2.89
5 Au 0.1936 0.0996 0.5000 (multiplicity 4)  2 Al 2.69, 4 Ag 2.84-2.93, 4 Au 2.96-3.01

Crystal system = orthorhombic

---

# 6
First-principles (PBE) data for a geometry-optimized Al2Ag5Au5 structure, as listed in the Alexandria database.

Cell: 4.6097 5.3931 9.9470 Å, 89.12 76.62 65.14°
Last column: nearest neighbours and their distance in Å.
Space group P-1 (No. 2)
Inequivalent atoms, fractional coordinates:
1 Al 0.0733 0.0424 0.3127 (multiplicity 2)  4 Au 2.53-2.70, 1 Ag 2.83
2 Ag 0.1537 0.1610 0.0323 (multiplicity 2)  4 Ag 2.82-3.03, 1 Al 2.83, 5 Au 2.86-2.97
3 Ag 0.1729 0.3955 0.7532 (multiplicity 2)  3 Ag 2.86-3.03, 3 Al 2.88-3.19, 5 Au 2.89-3.07
4 Ag 0.5000 0.0000 0.5000 (multiplicity 1)  8 Au 2.89-3.14, 4 Al 2.95, 2 Ag 2.98
5 Au 0.2143 0.6248 0.4490 (multiplicity 2)  2 Al 2.53-2.70, 2 Au 2.83
6 Au 0.4562 0.8098 0.7741 (multiplicity 2)  2 Al 2.58, 2 Au 2.77-2.89
7 Au 0.5000 0.5000 0.0000 (multiplicity 1)  2 Au 2.77, 4 Ag 2.86-2.89

Crystal system = triclinic

---

# 7
First-principles (PBE) data for a geometry-optimized AlAg7Au12 structure, as listed in the Alexandria database.

Cell: 12.2254 12.2254 8.5906 Å, 90.00 90.00 120.00°
Last column: nearest neighbours and their distance in Å.
Space group R-3 (No. 148, hexagonal axes)
Inequivalent atoms, fractional coordinates:
1 Al 0.0000 0.0000 0.0000 (multiplicity 3)  6 Ag 2.69
2 Ag 0.0000 0.0000 0.5000 (multiplicity 3)  6 Au 2.78
3 Ag 0.0607 0.2363 0.9174 (multiplicity 18)  1 Al 2.69, 7 Au 2.82-2.99, 3 Ag 2.88-2.96
4 Au 0.0553 0.2186 0.2516 (multiplicity 18)  6 Au 2.85-3.10, 4 Ag 2.88-2.99
5 Au 0.0570 0.2430 0.5818 (multiplicity 18)  4 Ag 2.78-2.89, 7 Au 2.85-3.04

Crystal system = trigonal

---

# 8
First-principles (PBE) data for a geometry-optimized AlAgAu2 structure, as listed in the Alexandria database.

Cell: 3.1815 3.1311 6.9031 Å, 90.00 90.21 90.00°
Last column: nearest neighbours and their distance in Å.
Space group P2/m (No. 10)
Inequivalent atoms, fractional coordinates:
1 Al 0.0000 0.0000 0.0000 (multiplicity 1)  8 Au 2.70-2.71
2 Ag 0.0000 0.0000 0.5000 (multiplicity 1)  8 Au 2.94-2.95, 4 Ag 3.13-3.18
3 Au 0.4994 0.5000 0.7788 (multiplicity 2)  4 Al 2.70-2.71, 4 Ag 2.94-2.95

Crystal system = monoclinic

---

# 9
First-principles (PBE) data for a geometry-optimized AlAg2Au structure, as listed in the Alexandria database.

Cell: 9.8902 3.0575 4.7316 Å, 90.00 106.69 90.00°
Last column: nearest neighbours and their distance in Å.
Space group C2/m (No. 12)
Inequivalent atoms, fractional coordinates:
1 Al 0.0000 0.0000 0.0000 (multiplicity 2)  4 Ag 2.75, 4 Au 2.82, 2 Al 3.06
2 Ag 0.2361 0.5000 0.2389 (multiplicity 4)  2 Al 2.75, 6 Ag 2.81-3.06, 3 Au 2.94-2.97
3 Au 0.0000 0.5000 0.5000 (multiplicity 2)  4 Al 2.82, 6 Ag 2.94-2.97, 2 Au 3.06

Crystal system = monoclinic

---

# 10
First-principles (PBE) data for a geometry-optimized AlAgAu2 structure, as listed in the Alexandria database.

Cell: 3.5663 4.3423 8.8951 Å, 90.00 90.00 90.00°
Last column: nearest neighbours and their distance in Å.
Space group Imm2 (No. 44)
Inequivalent atoms, fractional coordinates:
1 Al 0.0000 0.0000 0.0000 (multiplicity 2)  6 Au 2.64-2.81, 2 Ag 2.77
2 Ag 0.0000 0.5000 0.7387 (multiplicity 2)  2 Al 2.77, 8 Au 2.83-3.02
3 Au 0.0000 0.0000 0.5123 (multiplicity 2)  4 Al 2.81, 4 Ag 2.96-3.02, 4 Au 2.98-2.99
4 Au 0.0000 0.5000 0.2811 (multiplicity 2)  2 Al 2.64, 4 Ag 2.83

Crystal system = orthorhombic

---

# 11
First-principles (PBE) data for a geometry-optimized Al2AgAu2 structure, as listed in the Alexandria database.

Cell: 7.7323 7.7323 2.9015 Å, 90.00 90.00 90.00°
Last column: nearest neighbours and their distance in Å.
Space group P4/mbm (No. 127)
Inequivalent atoms, fractional coordinates:
1 Al 0.1287 0.3713 0.0000 (multiplicity 4)  6 Au 2.63-2.75, 3 Al 2.81-2.90
2 Ag 0.0000 0.0000 0.0000 (multiplicity 2)  2 Ag 2.90, 4 Al 3.04, 8 Au 3.21
3 Au 0.1704 0.6704 0.5000 (multiplicity 4)  6 Al 2.63-2.75, 2 Au 2.90

Crystal system = tetragonal

---

# 12
First-principles (PBE) data for a geometry-optimized AlAg2Au8 structure, as listed in the Alexandria database.

Cell: 14.7058 4.2031 6.5850 Å, 90.00 106.80 90.00°
Last column: nearest neighbours and their distance in Å.
Space group C2/m (No. 12)
Inequivalent atoms, fractional coordinates:
1 Al 0.0000 0.0000 0.0000 (multiplicity 2)  12 Au 2.77-2.96
2 Ag 0.2236 0.5000 0.6313 (multiplicity 4)  10 Au 2.88-2.99, 2 Ag 2.96
3 Au 0.0450 0.5000 0.7279 (multiplicity 4)  9 Au 2.85-3.05, 1 Ag 2.88, 2 Al 2.96
4 Au 0.0890 0.0000 0.4330 (multiplicity 4)  1 Al 2.77, 8 Au 2.87-3.05, 3 Ag 2.91-2.92
5 Au 0.1345 0.5000 0.1732 (multiplicity 4)  7 Au 2.85-2.95, 2 Al 2.89, 3 Ag 2.92-2.98
6 Au 0.1786 0.0000 0.9098 (multiplicity 4)  1 Al 2.86, 8 Au 2.89-3.03, 3 Ag 2.95-2.99

Crystal system = monoclinic

---

Looking at E for the records above, in order, we have -3.26; -3.27; -3.41; -3.54; -3.37; -3.30; -3.13; -3.52; -3.32; -3.49; -3.59; -3.34 eV/atom.